Record 1
The following is a DFT calculation (PBE) of PmErTe2Cl after structural relaxation.

Formation energy (no corrections) ... -1.57 eV per atom
Crystal system ... tetragonal
Magnetization ... 0.000 μB/atom

POSCAR file:
```
PmErTe2Cl
1.0
-3.956 -1.439 -0.956
-0.417 -1.522 4.018
-5.813 13.085 4.352
Pm Er Te Cl
2 2 4 2
direct
0.500 0.000 0.634
0.000 0.500 0.366
0.500 0.000 0.083
0.000 0.500 0.917
0.000 0.500 0.707
0.000 0.500 0.122
0.500 0.000 0.878
0.500 0.000 0.293
0.000 0.000 0.500
0.500 0.500 0.500
```

=====

Record 2
The following is a DFT calculation (PBE) of KTe3F after structural relaxation.

Formation energy (no corrections) ... 0.75 eV per atom
Crystal system ... cubic
Magnetization ... 0.028 μB/atom

POSCAR file:
```
KTe3F
1.0
5.901 0.000 0.000
0.000 5.901 0.000
0.000 0.000 5.901
K Te F
1 3 1
direct
0.000 0.000 0.000
0.000 0.500 0.000
0.000 0.000 0.500
0.500 0.000 0.000
0.500 0.500 0.500
```

=====

Record 3
The following is a DFT calculation (PBE) of Ti5Mn4Tc after structural relaxation.

ΔH_f (0 K) ... -0.281 eV per atom
Crystal system ... tetragonal
Magnetization ... 0.312 μB/atom

POSCAR file:
```
Ti5Mn4Tc
1.0
-1.072 2.779 0.485
-2.786 -1.125 0.288
2.231 -1.725 14.821
Ti Mn Tc
5 4 1
direct
0.500 0.500 0.105
0.500 0.500 0.303
0.500 0.500 0.500
0.500 0.500 0.697
0.500 0.500 0.895
0.000 0.000 0.205
0.000 0.000 0.402
0.000 0.000 0.598
0.000 0.000 0.795
0.000 0.000 0.000
```

=====

What did the first record say?
The following is a DFT calculation (PBE) of PmErTe2Cl after structural relaxation.

Formation energy (no corrections) ... -1.57 eV per atom
Crystal system ... tetragonal
Magnetization ... 0.000 μB/atom

POSCAR file:
```
PmErTe2Cl
1.0
-3.956 -1.439 -0.956
-0.417 -1.522 4.018
-5.813 13.085 4.352
Pm Er Te Cl
2 2 4 2
direct
0.500 0.000 0.634
0.000 0.500 0.366
0.500 0.000 0.083
0.000 0.500 0.917
0.000 0.500 0.707
0.000 0.500 0.122
0.500 0.000 0.878
0.500 0.000 0.293
0.000 0.000 0.500
0.500 0.500 0.500
```